The following is a PBE with a Hubbard U calculation of crystalline CaFePb2O4 at its relaxed geometry, from Alexandria via LeMat-Bulk.

Unit cell a=3.3527 b=12.3443 c=12.9527 alpha=90.00 beta=90.00 gamma=90.00
Space group Cmcm (No. 63)
Unique sites:
1 Ca 0.0000 0.0656 0.2500 (multiplicity 4)
2 Fe 0.0000 0.2054 0.7500 (multiplicity 4)
3 Pb 0.0000 0.3665 0.0170 (multiplicity 8)
4 O 0.0000 0.0000 0.0000 (multiplicity 4)
5 O 0.0000 0.3433 0.6510 (multiplicity 8)
6 O 0.0000 0.3889 0.2500 (multiplicity 4)

**Energy**: -5.786 eV/atom